[1]
A plane-wave DFT calculation with PBE was carried out for a geometry-optimized PmDyThMg structure.

Lattice parameters (Å, degrees): 3.610 3.610 9.284 90.00 90.00 90.00
Element x y z (fractional)
Pm (0.000, 0.000, 0.080)
Dy (0.000, 0.000, 0.561)
Th (0.500, 0.500, 0.817)
Mg (0.500, 0.500, 0.327)

Output
Polymorph energy (0 for the lowest one): 0 meV/atom
Formation energy from the elements: -0.047 eV/atom
E_tot: -4.639 eV/atom
Calculated density: 7.74 Mg/m³
Total moment: 0.0 μB per formula unit



[2]
A plane-wave DFT calculation with PBE was carried out for a geometry-optimized Pm3Dy6Tm2Mg structure.

Lattice parameters (Å, degrees): 6.155 6.155 11.667 95.07 95.07 120.03
Element x y z (fractional)
Pm (0.166, 0.834, 0.500)
Pm (0.834, 0.166, 0.500)
Pm (0.500, 0.500, 0.500)
Dy (0.919, 0.587, 0.756)
Dy (0.748, 0.748, 0.245)
Dy (0.081, 0.413, 0.244)
Dy (0.587, 0.919, 0.756)
Dy (0.252, 0.252, 0.755)
Dy (0.413, 0.081, 0.244)
Tm (0.334, 0.666, 0.000)
Tm (0.666, 0.334, 0.000)
Mg (0.000, 0.000, 0.000)

Output
Formation energy from the elements: 0.034 eV/atom
E_tot: -4.333 eV/atom
Calculated density: 7.81 Mg/m³
Total moment: 0.0 μB per formula unit